[1]
! HoTmAlOs2, relaxed, DFT GGA-PBE; values from VASP
! Magnetic moment (μB per atom): 0.000
! Final energy (eV/cell): -37.46
&SYSTEM
  ibrav = 0, nat = 5, ntyp = 4
/
ATOMIC_SPECIES
Al 26.98 Al.upf
Ho 164.93 Ho.upf
Os 190.23 Os.upf
Tm 168.93 Tm.upf
ATOMIC_POSITIONS crystal
Al 0.000 0.000 0.000
Ho 0.297 0.797 0.500
Os 0.723 0.500 0.223
Os 0.277 0.500 0.777
Tm 0.703 0.203 0.500
CELL_PARAMETERS angstrom
2.550 -4.440 -2.140
-2.659 -4.176 2.507
-1.443 4.192 -3.337

---

[2]
! Ho3Al7Pd2, relaxed, DFT GGA-PBE; values from VASP
! Magnetic moment (μB per atom): 0.001
! Final energy (eV/cell): -58.58
&SYSTEM
  ibrav = 0, nat = 12, ntyp = 3
/
ATOMIC_SPECIES
Al 26.98 Al.upf
Ho 164.93 Ho.upf
Pd 106.42 Pd.upf
ATOMIC_POSITIONS crystal
Al 0.583 0.583 0.073
Al 0.417 0.927 0.417
Al 0.927 0.417 0.417
Al 0.500 0.500 0.500
Al 0.583 0.073 0.583
Al 0.073 0.583 0.583
Al 0.417 0.417 0.927
Ho 0.000 0.000 0.000
Ho 0.144 0.144 0.144
Ho 0.856 0.856 0.856
Pd 0.336 0.336 0.336
Pd 0.664 0.664 0.664
CELL_PARAMETERS angstrom
-6.455 2.379 6.116
-2.333 0.055 8.904
-1.944 5.287 7.280